Compound: Ca2MnBiF
Source: Alexandria via LeMat-Bulk
Functional: PBE+U
Structure: relaxed Values from VASP.

Calculated values
electronic total energy: -18.85 eV/f.u.
DOS(E_F): 3.92 states/eV/cell
space group: P4/mmm, No. 123
total moment: 5.30 μB per formula unit

Structure (Quantum ESPRESSO input):
```
&SYSTEM
  ibrav = 0, nat = 5, ntyp = 4
/
ATOMIC_SPECIES
Ca 40.08 Ca.upf
Mn 54.94 Mn.upf
Bi 208.98 Bi.upf
F 19.00 F.upf
CELL_PARAMETERS angstrom
6.192 0.000 0.000
0.000 6.192 0.000
0.000 0.000 4.656
ATOMIC_POSITIONS crystal
Ca 0.000 0.500 0.000
Ca 0.500 0.000 0.000
Mn 0.000 0.000 0.500
Bi 0.500 0.500 0.000
F 0.500 0.500 0.500
```